Entry 1:
VASP calculation (GGA-PBE) on a relaxed structure of ThSF.

Geometry as extended XYZ:
```
12
Lattice="10.271 0.000 0.000 0.000 4.267 0.000 -0.025 0.000 5.648" Properties=species:S:1:pos:R:3 pbc="T T T"
Th 1.490 0.000 1.412
Th 3.621 2.133 4.236
Th 6.625 2.133 1.412
Th 8.756 0.000 4.236
S 1.515 0.000 4.237
S 3.595 2.133 1.412
S 6.651 2.133 4.237
S 8.731 0.000 1.412
F 0.583 2.133 1.414
F 4.527 0.000 4.234
F 5.719 0.000 1.414
F 9.663 2.133 4.234
```

- Size of the total moment: 0.0 μB/f.u.
- ΔE_f (raw): -2.6920 eV per atom

=====

Entry 2:
VASP calculation (GGA-PBE) on a relaxed structure of TiS6F2.

Geometry as extended XYZ:
```
9
Lattice="3.231 0.000 0.000 -0.004 5.678 0.000 -1.536 -1.949 12.437" Properties=species:S:1:pos:R:3 pbc="T T T"
Ti 0.000 0.000 0.000
S -0.001 2.302 0.847
S 0.041 3.010 5.475
S 0.035 0.670 8.292
S 1.656 3.059 4.145
S 1.649 0.719 6.962
S 1.692 1.428 11.590
F 0.079 -1.552 11.276
F 1.611 5.282 1.161
```

- Size of the total moment: 0.7 μB/f.u.
- ΔE_f (raw): -0.8449 eV per atom

=====

Entry 3:
VASP calculation (GGA-PBE) on a relaxed structure of Ti2SF.

Geometry as extended XYZ:
```
16
Lattice="4.290 0.000 0.000 0.000 4.290 0.000 0.000 0.000 13.794" Properties=species:S:1:pos:R:3 pbc="T T T"
Ti 0.893 1.072 1.724
Ti 1.072 3.037 5.173
Ti 1.072 3.397 12.069
Ti 1.252 1.072 8.621
Ti 3.037 3.217 8.621
Ti 3.217 0.893 12.069
Ti 3.217 1.252 5.173
Ti 3.397 3.217 1.724
S 0.000 0.000 6.897
S 0.000 2.145 10.345
S 2.145 0.000 3.448
S 2.145 2.145 0.000
F 0.000 0.000 0.000
F 0.000 2.145 3.448
F 2.145 0.000 10.345
F 2.145 2.145 6.897
```

- Size of the total moment: 1.8 μB/f.u.
- Polymorph energy (0 for the lowest one): 154 meV/atom
- ΔE_f (raw): -1.1557 eV per atom

=====

Entry 4:
VASP calculation (GGA-PBE) on a relaxed structure of TiS2F.

Geometry as extended XYZ:
```
16
Lattice="5.666 0.000 0.000 0.000 5.666 0.000 0.000 0.000 10.713" Properties=species:S:1:pos:R:3 pbc="T T T"
Ti 0.000 0.000 0.000
Ti 0.000 2.833 2.678
Ti 2.833 0.000 8.035
Ti 2.833 2.833 5.356
S 1.176 1.417 1.339
S 1.417 4.010 4.017
S 1.417 4.490 9.374
S 1.657 1.417 6.696
S 4.010 4.250 6.696
S 4.250 1.176 9.374
S 4.250 1.657 4.017
S 4.490 4.250 1.339
F 0.000 0.000 5.356
F 0.000 2.833 8.035
F 2.833 0.000 2.678
F 2.833 2.833 0.000
```

- Size of the total moment: 0.0 μB/f.u.
- Polymorph energy (0 for the lowest one): 334 meV/atom
- ΔE_f (raw): -0.7940 eV per atom

=====

Entry 5:
VASP calculation (GGA-PBE) on a relaxed structure of TiS2F.

Geometry as extended XYZ:
```
16
Lattice="6.036 0.000 0.000 0.000 6.036 0.000 0.000 0.000 6.036" Properties=species:S:1:pos:R:3 pbc="T T T"
Ti 0.000 0.000 0.000
Ti 0.000 3.018 3.018
Ti 3.018 0.000 3.018
Ti 3.018 3.018 0.000
S 1.509 1.509 1.509
S 1.509 1.509 4.527
S 1.509 4.527 1.509
S 1.509 4.527 4.527
S 4.527 1.509 1.509
S 4.527 1.509 4.527
S 4.527 4.527 1.509
S 4.527 4.527 4.527
F 0.000 0.000 3.018
F 0.000 3.018 0.000
F 3.018 0.000 0.000
F 3.018 3.018 3.018
```

- Size of the total moment: 0.0 μB/f.u.
- Polymorph energy (0 for the lowest one): 291 meV/atom
- ΔE_f (raw): -0.8370 eV per atom

=====

Entry 6:
VASP calculation (GGA-PBE) on a relaxed structure of TiS2F.

Geometry as extended XYZ:
```
12
Lattice="3.401 0.000 0.000 -1.701 2.945 0.000 0.000 0.000 20.635" Properties=species:S:1:pos:R:3 pbc="T T T"
Ti 0.000 0.000 0.000
Ti 0.000 1.964 13.756
Ti 1.701 0.982 6.878
S 0.000 0.000 8.259
S 0.000 0.000 12.376
S 0.000 1.964 1.381
S 0.000 1.964 5.497
S 1.701 0.982 15.137
S 1.701 0.982 19.254
F 0.000 0.000 10.317
F 0.000 1.964 3.439
F 1.701 0.982 17.196
```

- Size of the total moment: 0.0 μB/f.u.
- Polymorph energy (0 for the lowest one): 0 meV/atom
- ΔE_f (raw): -1.1279 eV per atom

=====

Entry 7:
VASP calculation (GGA-PBE) on a relaxed structure of Ti2SF.

Geometry as extended XYZ:
```
16
Lattice="5.906 0.000 0.000 0.000 5.906 0.000 0.000 0.000 5.906" Properties=species:S:1:pos:R:3 pbc="T T T"
Ti 1.476 1.476 1.476
Ti 1.476 1.476 4.429
Ti 1.476 4.429 1.476
Ti 1.476 4.429 4.429
Ti 4.429 1.476 1.476
Ti 4.429 1.476 4.429
Ti 4.429 4.429 1.476
Ti 4.429 4.429 4.429
S 0.000 0.000 0.000
S 0.000 2.953 2.953
S 2.953 0.000 2.953
S 2.953 2.953 0.000
F 0.000 0.000 2.953
F 0.000 2.953 0.000
F 2.953 0.000 0.000
F 2.953 2.953 2.953
```

- Size of the total moment: 0.0 μB/f.u.
- Polymorph energy (0 for the lowest one): 0 meV/atom
- ΔE_f (raw): -1.3100 eV per atom

=====

Entry 8:
VASP calculation (GGA-PBE) on a relaxed structure of Ti3SF.

Geometry as extended XYZ:
```
5
Lattice="4.110 0.000 0.000 0.000 4.110 0.000 0.000 0.000 4.110" Properties=species:S:1:pos:R:3 pbc="T T T"
Ti 0.000 0.000 2.055
Ti 0.000 2.055 0.000
Ti 2.055 0.000 0.000
S 2.055 2.055 2.055
F 0.000 0.000 0.000
```

- Size of the total moment: 0.6 μB/f.u.
- Polymorph energy (0 for the lowest one): 0 meV/atom
- ΔE_f (raw): -0.4961 eV per atom

=====

Entry 9:
VASP calculation (GGA-PBE) on a relaxed structure of TiTlS2F.

Geometry as extended XYZ:
```
5
Lattice="4.871 0.000 0.000 0.000 4.871 0.000 0.000 0.000 4.042" Properties=species:S:1:pos:R:3 pbc="T T T"
Ti 0.000 0.000 0.000
Tl 2.436 2.436 2.021
S 0.000 2.436 0.000
S 2.436 0.000 0.000
F 0.000 0.000 2.021
```

- Size of the total moment: 0.0 μB/f.u.
- ΔE_f (raw): -1.4172 eV per atom

=====

Entry 10:
VASP calculation (GGA-PBE) on a relaxed structure of Tl2SF.

Geometry as extended XYZ:
```
8
Lattice="4.072 0.000 0.000 0.000 4.081 0.000 -1.005 0.000 13.131" Properties=species:S:1:pos:R:3 pbc="T T T"
Tl 0.514 1.020 5.072
Tl 1.018 1.020 1.372
Tl 2.049 3.061 11.759
Tl 2.553 3.061 8.059
S 0.017 1.020 11.588
S 3.050 3.061 1.543
F 0.512 3.061 6.564
F 2.555 1.020 6.568
```

- Size of the total moment: 0.0 μB/f.u.
- Polymorph energy (0 for the lowest one): 4 meV/atom
- ΔE_f (raw): -0.9350 eV per atom

=====

Entry 11:
VASP calculation (GGA-PBE) on a relaxed structure of Tl2SF.

Geometry as extended XYZ:
```
12
Lattice="4.164 0.000 0.000 -2.082 3.606 0.000 0.000 0.000 19.089" Properties=species:S:1:pos:R:3 pbc="T T T"
Tl 0.000 0.000 4.668
Tl 0.000 0.000 14.422
Tl 0.000 2.404 8.059
Tl 0.000 2.404 17.394
Tl 2.082 1.202 1.695
Tl 2.082 1.202 11.031
S 0.000 0.000 0.000
S 0.000 2.404 12.726
S 2.082 1.202 6.363
F 0.000 0.000 9.545
F 0.000 2.404 3.182
F 2.082 1.202 15.908
```

- Size of the total moment: 0.0 μB/f.u.
- Polymorph energy (0 for the lowest one): 103 meV/atom
- ΔE_f (raw): -0.8362 eV per atom

=====

Entry 12:
VASP calculation (GGA-PBE) on a relaxed structure of Tl2S6F.

Geometry as extended XYZ:
```
9
Lattice="5.544 0.000 0.000 -1.684 6.903 0.000 -2.095 -2.451 7.379" Properties=species:S:1:pos:R:3 pbc="T T T"
Tl 0.337 1.890 0.685
Tl 1.429 2.563 6.695
S -0.841 4.553 2.194
S -0.222 3.824 4.416
S 0.631 5.915 1.793
S 1.135 -1.463 5.586
S 1.988 0.629 2.963
S 2.607 -0.101 5.186
F 1.930 3.451 0.000
```

- Size of the total moment: 0.0 μB/f.u.
- ΔE_f (raw): -0.3190 eV per atom